# 1
# Pm3CoPb PBE relaxed
data_Pm3CoPb
_chemical_formula_sum 'Pm3 Co1 Pb1'
_symmetry_space_group_name_H-M 'P m -3 m'
_symmetry_Int_Tables_number 221
_symmetry_space_group_name_Hall '-P 4 2 3'
_cell_length_a 5.253
_cell_length_b 5.253
_cell_length_c 5.253
_cell_angle_alpha 90.00
_cell_angle_beta 90.00
_cell_angle_gamma 90.00
loop_
_atom_site_label
_atom_site_type_symbol
_atom_site_fract_x
_atom_site_fract_y
_atom_site_fract_z
_atom_site_occupancy
Pm1 Pm 0.000 0.000 0.500 1
Co1 Co 0.000 0.000 0.000 1
Pb1 Pb 0.500 0.500 0.500 1
# formation energy from the elements = -0.24 eV/atom
# ΔE to the lowest computed polymorph = 0.0 kJ per mole of atoms
# crystal system = cubic

***

# 2
# RbBa2Zn PBE relaxed
data_RbBa2Zn
_chemical_formula_sum 'Rb3 Ba6 Zn3'
_symmetry_space_group_name_H-M 'R 3 m'
_symmetry_Int_Tables_number 160
_symmetry_space_group_name_Hall 'R 3 -2"'
_cell_length_a 4.9094
_cell_length_b 4.9094
_cell_length_c 35.8023
_cell_angle_alpha 90.00
_cell_angle_beta 90.00
_cell_angle_gamma 120.00
loop_
_atom_site_label
_atom_site_type_symbol
_atom_site_fract_x
_atom_site_fract_y
_atom_site_fract_z
_atom_site_occupancy
Rb1 Rb 0.0000 0.0000 0.0000 1
Ba1 Ba 0.0000 0.0000 0.2184 1
Ba2 Ba 0.0000 0.0000 0.4487 1
Zn1 Zn 0.0000 0.0000 0.8337 1
# formation energy from the elements = 0.02 eV/atom
# crystal system = trigonal

***

# 3
# Sc2FeTe PBE relaxed
data_Sc2FeTe
_chemical_formula_sum 'Sc4 Fe2 Te2'
_symmetry_space_group_name_H-M 'I 4/m m m'
_symmetry_Int_Tables_number 139
_symmetry_space_group_name_Hall '-I 4 2'
_cell_length_a 4.284
_cell_length_b 4.284
_cell_length_c 8.355
_cell_angle_alpha 90.00
_cell_angle_beta 90.00
_cell_angle_gamma 90.00
loop_
_atom_site_label
_atom_site_type_symbol
_atom_site_fract_x
_atom_site_fract_y
_atom_site_fract_z
_atom_site_occupancy
Sc1 Sc 0.000 0.500 0.250 1
Fe1 Fe 0.000 0.000 0.000 1
Te1 Te 0.000 0.000 0.500 1
# ΔE_f (raw) = -311 meV per atom
# crystal system = tetragonal

***

# 4
# LaPRu2 PBE relaxed
data_LaPRu2
_chemical_formula_sum 'La1 P1 Ru2'
_symmetry_space_group_name_H-M 'P 4 m m'
_symmetry_Int_Tables_number 99
_cell_length_a 3.096
_cell_length_b 3.096
_cell_length_c 7.249
_cell_angle_alpha 90.00
_cell_angle_beta 90.00
_cell_angle_gamma 90.00
loop_
_symmetry_equiv_pos_as_xyz
'x,y,z'
'-y,x,z'
'-x,-y,z'
'y,-x,z'
'-x,y,z'
'y,x,z'
'x,-y,z'
'-y,-x,z'
loop_
_atom_site_label
_atom_site_type_symbol
_atom_site_fract_x
_atom_site_fract_y
_atom_site_fract_z
_atom_site_occupancy
La1 La 0.000 0.000 0.000 1
P1 P 0.500 0.500 0.316 1
Ru1 Ru 0.000 0.000 0.468 1
Ru2 Ru 0.500 0.500 0.707 1
# formation energy from the elements = -0.16 eV/atom
# crystal system = tetragonal

***

# 5
# SnMo2P2 PBE relaxed
data_SnMo2P2
_chemical_formula_sum 'Sn2 Mo4 P4'
_symmetry_space_group_name_H-M 'P 4/m b m'
_symmetry_Int_Tables_number 127
_symmetry_space_group_name_Hall '-P 4 2ab'
_cell_length_a 7.279
_cell_length_b 7.279
_cell_length_c 3.065
_cell_angle_alpha 90.00
_cell_angle_beta 90.00
_cell_angle_gamma 90.00
loop_
_atom_site_label
_atom_site_type_symbol
_atom_site_fract_x
_atom_site_fract_y
_atom_site_fract_z
_atom_site_occupancy
Sn1 Sn 0.000 0.000 0.000 1
Mo1 Mo 0.144 0.356 0.000 1
P1 P 0.134 0.634 0.500 1
# formation energy from the elements = -0.07 eV/atom
# ΔE to the lowest computed polymorph = 7.3 kJ per mole of atoms
# crystal system = tetragonal

***

# 6
# Sn2PdO2 PBE relaxed
data_Sn2PdO2
_chemical_formula_sum 'Sn4 Pd2 O4'
_symmetry_space_group_name_H-M 'P 4/m b m'
_symmetry_Int_Tables_number 127
_symmetry_space_group_name_Hall '-P 4 2ab'
_cell_length_a 7.221
_cell_length_b 7.221
_cell_length_c 3.334
_cell_angle_alpha 90.00
_cell_angle_beta 90.00
_cell_angle_gamma 90.00
loop_
_atom_site_label
_atom_site_type_symbol
_atom_site_fract_x
_atom_site_fract_y
_atom_site_fract_z
_atom_site_occupancy
Sn1 Sn 0.206 0.294 0.000 1
Pd1 Pd 0.000 0.000 0.500 1
O1 O 0.165 0.665 0.500 1
# ΔE_f (raw) = -562 meV per atom
# ΔE to the lowest computed polymorph = 4.2 kJ per mole of atoms
# crystal system = tetragonal

***

# 7
# LiTa2ZnGa PBE relaxed
data_LiTa2ZnGa
_chemical_formula_sum 'Li1 Ta2 Zn1 Ga1'
_symmetry_space_group_name_H-M 'P 4/m m m'
_symmetry_Int_Tables_number 123
_symmetry_space_group_name_Hall '-P 4 2'
_cell_length_a 4.805
_cell_length_b 4.805
_cell_length_c 4.460
_cell_angle_alpha 90.00
_cell_angle_beta 90.00
_cell_angle_gamma 90.00
loop_
_atom_site_label
_atom_site_type_symbol
_atom_site_fract_x
_atom_site_fract_y
_atom_site_fract_z
_atom_site_occupancy
Li1 Li 0.000 0.000 0.000 1
Ta1 Ta 0.000 0.500 0.500 1
Zn1 Zn 0.500 0.500 0.500 1
Ga1 Ga 0.500 0.500 0.000 1
# formation energy from the elements = 1.22 eV/atom
# crystal system = tetragonal

***

# 8
# AlCrIr2 PBE relaxed
data_AlCrIr2
_chemical_formula_sum 'Al1 Cr1 Ir2'
_symmetry_space_group_name_H-M 'P m m 2'
_symmetry_Int_Tables_number 25
_cell_length_a 2.791
_cell_length_b 3.810
_cell_length_c 5.305
_cell_angle_alpha 90.00
_cell_angle_beta 90.00
_cell_angle_gamma 90.00
loop_
_symmetry_equiv_pos_as_xyz
'x,y,z'
'-x,-y,z'
'-x,y,z'
'x,-y,z'
loop_
_atom_site_label
_atom_site_type_symbol
_atom_site_fract_x
_atom_site_fract_y
_atom_site_fract_z
_atom_site_occupancy
Al1 Al 0.000 0.000 0.000 1
Cr1 Cr 0.500 0.500 0.289 1
Ir1 Ir 0.000 0.000 0.483 1
Ir2 Ir 0.500 0.500 0.805 1
# formation energy from the elements = -0.35 eV/atom
# crystal system = orthorhombic

***

# 9
# MgAl2Te PBE relaxed
data_MgAl2Te
_chemical_formula_sum 'Mg1 Al2 Te1'
_symmetry_space_group_name_H-M 'P m m 2'
_symmetry_Int_Tables_number 25
_cell_length_a 3.064
_cell_length_b 4.061
_cell_length_c 7.518
_cell_angle_alpha 90.00
_cell_angle_beta 90.00
_cell_angle_gamma 90.00
loop_
_symmetry_equiv_pos_as_xyz
'x,y,z'
'-x,-y,z'
'-x,y,z'
'x,-y,z'
loop_
_atom_site_label
_atom_site_type_symbol
_atom_site_fract_x
_atom_site_fract_y
_atom_site_fract_z
_atom_site_occupancy
Mg1 Mg 0.000 0.000 0.000 1
Al1 Al 0.000 0.000 0.604 1
Al2 Al 0.500 0.500 0.753 1
Te1 Te 0.500 0.500 0.225 1
# ΔE_f (raw) = 38 meV per atom
# ΔE to the lowest computed polymorph = 12.8 kJ per mole of atoms
# crystal system = orthorhombic

***

# 10
# BIBr2 PBE relaxed
data_BIBr2
_chemical_formula_sum 'B4 I4 Br8'
_symmetry_space_group_name_H-M 'F m -3 m'
_symmetry_Int_Tables_number 225
_symmetry_space_group_name_Hall '-F 4 2 3'
_cell_length_a 7.573
_cell_length_b 7.573
_cell_length_c 7.573
_cell_angle_alpha 90.00
_cell_angle_beta 90.00
_cell_angle_gamma 90.00
loop_
_atom_site_label
_atom_site_type_symbol
_atom_site_fract_x
_atom_site_fract_y
_atom_site_fract_z
_atom_site_occupancy
B1 B 0.000 0.000 0.000 1
I1 I 0.000 0.000 0.500 1
Br1 Br 0.250 0.250 0.250 1
# ΔE_f (raw) = 1388 meV per atom
# ΔE to the lowest computed polymorph = 166.7 kJ per mole of atoms
# crystal system = cubic

***

# 11
# YHoTm PBE relaxed
data_YHoTm
_chemical_formula_sum 'Y2 Ho2 Tm2'
_symmetry_space_group_name_H-M 'I 4 m m'
_symmetry_Int_Tables_number 107
_symmetry_space_group_name_Hall 'I 4 -2'
_cell_length_a 3.524
_cell_length_b 3.524
_cell_length_c 15.013
_cell_angle_alpha 90.00
_cell_angle_beta 90.00
_cell_angle_gamma 90.00
loop_
_atom_site_label
_atom_site_type_symbol
_atom_site_fract_x
_atom_site_fract_y
_atom_site_fract_z
_atom_site_occupancy
Y1 Y 0.000 0.000 0.000 1
Ho1 Ho 0.000 0.000 0.668 1
Tm1 Tm 0.000 0.000 0.333 1
# formation energy from the elements = 0.03 eV/atom
# ΔE to the lowest computed polymorph = 0.0 kJ per mole of atoms
# crystal system = tetragonal

***

# 12
# Dy7Se5S PBE relaxed
data_Dy7Se5S
_chemical_formula_sum 'Dy28 Se20 S4'
_symmetry_space_group_name_H-M 'C 1 2/m 1'
_symmetry_Int_Tables_number 12
_cell_length_a 13.236
_cell_length_b 3.927
_cell_length_c 24.463
_cell_angle_alpha 90.00
_cell_angle_beta 91.73
_cell_angle_gamma 90.00
loop_
_symmetry_equiv_pos_as_xyz
'x,y,z'
'-x,-y,-z'
'-x,y,-z'
'x,-y,z'
'x+1/2,y+1/2,z'
'-x+1/2,-y+1/2,-z'
'-x+1/2,y+1/2,-z'
'x+1/2,-y+1/2,z'
loop_
_atom_site_label
_atom_site_type_symbol
_atom_site_fract_x
_atom_site_fract_y
_atom_site_fract_z
_atom_site_occupancy
Dy1 Dy 0.037 0.000 0.252 1
Dy2 Dy 0.071 0.500 0.389 1
Dy3 Dy 0.092 0.500 0.117 1
Dy4 Dy 0.137 0.000 0.962 1
Dy5 Dy 0.143 0.000 0.538 1
Dy6 Dy 0.197 0.500 0.821 1
Dy7 Dy 0.216 0.500 0.683 1
Se1 Se 0.000 0.500 0.000 1
Se2 Se 0.000 0.500 0.500 1
Se3 Se 0.053 0.000 0.854 1
Se4 Se 0.072 0.000 0.647 1
Se5 Se 0.215 0.000 0.428 1
Se6 Se 0.221 0.000 0.071 1
S1 S 0.181 0.500 0.225 1
# ΔE_f (raw) = -1573 meV per atom
# crystal system = monoclinic

***

no.,D(E_F) (states/eV per cell),magnetization (μB/atom),DFT total energy (eV for the cell shown)
1,4.2,0.0000,-26.3
2,14.7,0.0001,-18.1
3,6.7,0.2763,-51.0
4,5.3,0.0004,-29.5
5,8.4,0.0000,-73.7
6,1.3,0.0000,-51.8
7,5.5,0.0000,-23.8
8,3.5,0.4819,-32.5
9,1.4,0.0000,-12.1
10,22.4,0.3909,-24.1
11,8.2,0.0000,-30.9
12,29.6,0.0000,-296.9